## KSi4Pb (PBE)

Data for a relaxed KSi4Pb crystal.

abc: 7.9325 7.9325 7.9325
angles: 90.00 90.00 90.00
Space group F-43m (No. 216)
Unique sites:
K 0.0000 0.0000 0.0000
Si 0.1332 0.1332 0.3668
Pb 0.2500 0.2500 0.7500

Summary:
* formation energy from raw total energies: 0.399 eV per atom
* spin magnetization: 0.00 μB per formula unit
* DFT total energy: -96.416 eV for the cell shown